# 1
GGA-PBEsol ScGaNi2Ir, relaxed; E_tot = -5.930 eV per atom; ΔE_f = 2.4 eV/f.u.; space-group type = P4/mmm, No. 123
1.0
-2.624 -2.624 2.597
0.061 -3.224 -3.197
3.701 -1.817 1.903
Ga Ni Ir Sc
1 2 1 1
direct
0.500 0.000 0.000
0.000 0.500 0.000
0.000 0.000 0.500
0.000 0.000 0.000
0.500 0.500 0.500


# 2
GGA-PBEsol Ga2TcNiIr, relaxed; E_tot = -5.690 eV per atom; ΔE_f = 5.5 eV/f.u.; space-group type = P4/mmm, No. 123
1.0
4.582 0.000 0.000
0.000 4.582 0.000
0.000 0.000 4.572
Ir Ga Tc Ni
1 2 1 1
direct
0.000 0.000 0.000
0.500 0.000 0.000
0.000 0.500 0.000
0.500 0.500 0.500
0.000 0.000 0.500


# 3
GGA-PBEsol GaIrO2, relaxed; E_tot = -6.441 eV per atom; E_form (uncorrected) = -0.525 eV per atom; space-group type = R-3m, No. 166
1.0
3.162 0.000 0.000
1.581 2.739 0.000
1.581 0.913 6.037
O Ir Ga
2 1 1
direct
0.116 0.116 0.653
0.884 0.884 0.347
0.500 0.500 0.500
0.000 0.000 0.000


# 4
GGA-PBEsol GaTcIr2O, relaxed; E_tot = -6.682 eV per atom; E_form (uncorrected) = 1.218 eV per atom; space-group type = P4/mmm, No. 123
1.0
-1.675 1.385 -2.658
1.701 -3.391 -2.838
-3.770 -2.702 0.968
Tc O Ga Ir
1 1 1 2
direct
0.500 0.500 0.500
0.500 0.000 0.000
0.000 0.000 0.000
0.000 0.500 0.000
0.000 0.000 0.500